An optimized crystal structure of CsAcPd, computed with PBE-GGA.

The final energy is -3.287 eV/atom. The symmetry is F-43m, No. 216. The distance to the lowest polymorph of the same formula is 0.00 eV/f.u.

a = 5.460 Å, b = 5.460 Å, c = 5.460 Å
α = 60.00°, β = 60.00°, γ = 60.00°
Positions (direct):
Cs 0.000 0.000 0.000
Ac 0.500 0.500 0.500
Pd 0.750 0.750 0.750